# 1
The following is a PBE-GGA calculation of a relaxed structure of Cs2NbHgCl6, from OQMD.

Lattice parameters (Å, degrees): 8.0010 8.0010 8.0010 60.00 60.00 60.00
Last column: nearest neighbours and their distance in Å.
Atoms (fractional coordinates):
Cs 0.2500 0.2500 0.2500  12 Cl 4.02
Cs 0.7500 0.7500 0.7500  12 Cl 4.02
Nb 0.0000 0.0000 0.0000  6 Cl 2.43
Hg 0.5000 0.5000 0.5000  6 Cl 3.22
Cl 0.2150 0.2150 0.7850  1 Nb 2.43
Cl 0.2150 0.7850 0.2150  1 Nb 2.43
Cl 0.2150 0.7850 0.7850  1 Nb 2.43
Cl 0.7850 0.2150 0.2150  1 Nb 2.43
Cl 0.7850 0.2150 0.7850  1 Nb 2.43
Cl 0.7850 0.7850 0.2150  1 Nb 2.43

Values from the calculation:
Raw total energy in eV/cell: -37.27
Magnetization in μB/cell: 1.00



# 2
The following is a PBE-GGA calculation of a relaxed structure of Cu7Ag, from OQMD.

Lattice parameters (Å, degrees): 4.5234 4.5234 7.3984 114.07 114.07 48.05
Last column: nearest neighbours and their distance in Å.
Atoms (fractional coordinates):
Cu 0.0000 0.0000 0.0000  12 Cu 2.54-2.60
Cu 0.2448 0.2448 0.3629  9 Cu 2.54-2.75, 3 Ag 2.64
Cu 0.2524 0.2524 0.8829  11 Cu 2.52-2.63, 1 Ag 2.66
Cu 0.4985 0.4985 0.7610  10 Cu 2.52-2.75, 2 Ag 2.67
Cu 0.5015 0.5015 0.2390  10 Cu 2.52-2.75, 2 Ag 2.67
Cu 0.7476 0.7476 0.1171  11 Cu 2.52-2.63, 1 Ag 2.66
Cu 0.7552 0.7552 0.6371  9 Cu 2.54-2.75, 3 Ag 2.64
Ag 0.0000 0.0000 0.5000  12 Cu 2.64-2.67

Values from the calculation:
E_form in eV/atom: 0.0467
Polymorph energy (0 for the lowest one) in meV per atom: 4



# 3
The following is a PBE-GGA calculation of a relaxed structure of ZnSiTc, from OQMD.

Lattice parameters (Å, degrees): 4.1017 4.1017 4.1017 60.00 60.00 60.00
Last column: nearest neighbours and their distance in Å.
Atoms (fractional coordinates):
Zn 0.0000 0.0000 0.0000  4 Tc 2.51
Si 0.5000 0.5000 0.5000  4 Tc 2.51
Tc 0.7500 0.7500 0.7500  4 Si 2.51, 4 Zn 2.51

Values from the calculation:
Magnetization in μB/cell: 0.01
Polymorph energy (0 for the lowest one) in meV per atom: 185



# 4
The following is a PBE-GGA calculation of a relaxed structure of YInPd, from OQMD.

Lattice parameters (Å, degrees): 4.8663 4.8663 4.8663 60.00 60.00 60.00
Last column: nearest neighbours and their distance in Å.
Atoms (fractional coordinates):
Y 0.0000 0.0000 0.0000  4 Pd 2.98
In 0.5000 0.5000 0.5000  4 Pd 2.98
Pd 0.7500 0.7500 0.7500  4 In 2.98, 4 Y 2.98

Values from the calculation:
Raw total energy in eV/cell: -16.24
Magnetization in μB/cell: 0.20



# 5
The following is a PBE-GGA calculation of a relaxed structure of SrPbAu2, from OQMD.

Lattice parameters (Å, degrees): 5.1656 5.1656 5.1656 60.00 60.00 60.00
Last column: nearest neighbours and their distance in Å.
Atoms (fractional coordinates):
Sr 0.0000 0.0000 0.0000  4 Au 3.16, 4 Pb 3.16
Pb 0.2500 0.2500 0.2500  4 Sr 3.16, 4 Au 3.16
Au 0.5000 0.5000 0.5000  4 Au 3.16, 4 Pb 3.16
Au 0.7500 0.7500 0.7500  4 Sr 3.16, 4 Au 3.16

Values from the calculation:
Raw total energy in eV/cell: -13.19



# 6
The following is a PBE-GGA calculation of a relaxed structure of BeNiAs, from OQMD.

Lattice parameters (Å, degrees): 3.7844 3.7844 3.7844 60.00 60.00 60.00
Last column: nearest neighbours and their distance in Å.
Atoms (fractional coordinates):
Be 0.0000 0.0000 0.0000  4 Ni 2.32
Ni 0.7500 0.7500 0.7500  4 Be 2.32, 4 As 2.32
As 0.5000 0.5000 0.5000  4 Ni 2.32

Values from the calculation:
Magnetization in μB/cell: 0.00
Polymorph energy (0 for the lowest one) in meV per atom: 0



# 7
The following is a PBE-GGA calculation of a relaxed structure of Pr4BrNCl4, from OQMD.

Lattice parameters (Å, degrees): 9.0430 9.0430 8.3975 105.22 105.22 24.64
Last column: nearest neighbours and their distance in Å.
Atoms (fractional coordinates):
Pr 0.0009 0.0009 0.2964  2 N 2.58, 1 Cl 2.85
Pr 0.3549 0.3549 0.4147  1 N 2.47
Pr 0.6451 0.6451 0.5853  1 N 2.47
Pr 0.9991 0.9991 0.7036  2 N 2.58, 1 Cl 2.85
Br 0.5000 0.5000 0.0000  4 Pr 3.15
N 0.5000 0.5000 0.5000  6 Pr 2.47-2.58
Cl 0.1653 0.1653 0.8418  3 Pr 2.84-2.85
Cl 0.1712 0.1712 0.3475  4 Pr 2.90-3.14
Cl 0.8288 0.8288 0.6525  4 Pr 2.90-3.14
Cl 0.8347 0.8347 0.1582  3 Pr 2.84-2.85

Values from the calculation:
Raw total energy in eV/cell: -54.73
Magnetization in μB/cell: 0.00



# 8
The following is a PBE-GGA calculation of a relaxed structure of KMgNbS3, from OQMD.

Lattice parameters (Å, degrees): 7.5381 7.5381 10.0251 90.00 90.00 151.09
Last column: nearest neighbours and their distance in Å.
Atoms (fractional coordinates):
K 0.2427 0.7573 0.7500  8 S 3.19-3.47
K 0.7573 0.2427 0.2500  8 S 3.19-3.47
Mg 0.0350 0.9650 0.2500  4 S 2.39
Mg 0.9650 0.0350 0.7500  4 S 2.39
Nb 0.5000 0.5000 0.0000  6 S 2.60-2.69
Nb 0.5000 0.5000 0.5000  6 S 2.60-2.69
S 0.1191 0.8809 0.0458  1 Mg 2.39, 2 Nb 2.60
S 0.1191 0.8809 0.4542  1 Mg 2.39, 2 Nb 2.60
S 0.4338 0.5662 0.2500  2 Mg 2.39
S 0.5662 0.4338 0.7500  2 Mg 2.39
S 0.8809 0.1191 0.5458  1 Mg 2.39, 2 Nb 2.60
S 0.8809 0.1191 0.9542  1 Mg 2.39, 2 Nb 2.60

Values from the calculation:
Magnetization in μB/cell: 3.97
Polymorph energy (0 for the lowest one) in meV per atom: 126



# 9
The following is a PBE-GGA calculation of a relaxed structure of TmAgSO, from OQMD.

Lattice parameters (Å, degrees): 5.5724 5.5676 10.6951 90.00 91.53 90.00
Last column: nearest neighbours and their distance in Å.
Atoms (fractional coordinates):
Tm 0.0038 0.9999 0.0968  4 O 2.22-2.24
Tm 0.4957 0.0000 0.9023  4 O 2.21-2.24
Tm 0.5043 0.5000 0.0977  4 O 2.21-2.24
Tm 0.9962 0.4999 0.9032  4 O 2.22-2.24
Ag 0.1841 0.2694 0.4973  2 S 2.37
Ag 0.4994 0.0155 0.2967  2 S 2.34-2.35
Ag 0.5006 0.5155 0.7033  2 S 2.34-2.35
Ag 0.8159 0.7694 0.5027  2 S 2.37
S 0.1993 0.3103 0.2775  2 Ag 2.35-2.37
S 0.2023 0.2208 0.7175  2 Ag 2.34-2.37
S 0.7977 0.7208 0.2825  2 Ag 2.34-2.37
S 0.8007 0.8103 0.7225  2 Ag 2.35-2.37
O 0.2498 0.7493 0.0002  4 Tm 2.22-2.24
O 0.2527 0.2487 0.9993  4 Tm 2.21-2.24
O 0.7473 0.7487 0.0007  4 Tm 2.21-2.24
O 0.7502 0.2493 0.9998  4 Tm 2.22-2.24

Values from the calculation:
Raw total energy in eV/cell: -96.75
Magnetization in μB/cell: 0.00



# 10
The following is a PBE-GGA calculation of a relaxed structure of TmBTe, from OQMD.

Lattice parameters (Å, degrees): 4.7715 4.7715 4.7715 60.00 60.00 60.00
Last column: nearest neighbours and their distance in Å.
Atoms (fractional coordinates):
Tm 0.0000 0.0000 0.0000  4 Te 2.92
B 0.5000 0.5000 0.5000  4 Te 2.92
Te 0.7500 0.7500 0.7500  4 B 2.92, 4 Tm 2.92

Values from the calculation:
Magnetization in μB/cell: 0.00
Polymorph energy (0 for the lowest one) in meV per atom: 417



# 11
The following is a PBE-GGA calculation of a relaxed structure of YErTa2Ge2, from OQMD.

Lattice parameters (Å, degrees): 4.0188 4.0188 7.8124 90.00 90.00 90.00
Last column: nearest neighbours and their distance in Å.
Atoms (fractional coordinates):
Y 0.0000 0.0000 0.0000  5 Ge 2.96-3.12
Er 0.5000 0.5000 0.2969  5 Ge 2.95-3.15
Ta 0.0000 0.5000 0.6465  4 Ge 2.79, 4 Ta 2.84
Ta 0.5000 0.0000 0.6465  4 Ge 2.79, 4 Ta 2.84
Ge 0.0000 0.0000 0.3995  4 Ta 2.79, 4 Er 2.95
Ge 0.5000 0.5000 0.8936  4 Ta 2.79, 4 Y 2.96

Values from the calculation:
Raw total energy in eV/cell: -47.59
Magnetization in μB/cell: 1.06



# 12
The following is a PBE-GGA calculation of a relaxed structure of LuGaNiHg, from OQMD.

Lattice parameters (Å, degrees): 4.6864 4.6864 4.6864 60.00 60.00 60.00
Last column: nearest neighbours and their distance in Å.
Atoms (fractional coordinates):
Lu 0.0000 0.0000 0.0000  4 Hg 2.87, 4 Ga 2.87
Ga 0.2500 0.2500 0.2500  4 Ni 2.87, 4 Lu 2.87
Ni 0.5000 0.5000 0.5000  4 Hg 2.87, 4 Ga 2.87
Hg 0.7500 0.7500 0.7500  4 Ni 2.87, 4 Lu 2.87

Values from the calculation:
Magnetization in μB/cell: 0.01
Polymorph energy (0 for the lowest one) in meV per atom: 0



Repeat the second record exactly.
The following is a PBE-GGA calculation of a relaxed structure of Cu7Ag, from OQMD.

Lattice parameters (Å, degrees): 4.5234 4.5234 7.3984 114.07 114.07 48.05
Last column: nearest neighbours and their distance in Å.
Atoms (fractional coordinates):
Cu 0.0000 0.0000 0.0000  12 Cu 2.54-2.60
Cu 0.2448 0.2448 0.3629  9 Cu 2.54-2.75, 3 Ag 2.64
Cu 0.2524 0.2524 0.8829  11 Cu 2.52-2.63, 1 Ag 2.66
Cu 0.4985 0.4985 0.7610  10 Cu 2.52-2.75, 2 Ag 2.67
Cu 0.5015 0.5015 0.2390  10 Cu 2.52-2.75, 2 Ag 2.67
Cu 0.7476 0.7476 0.1171  11 Cu 2.52-2.63, 1 Ag 2.66
Cu 0.7552 0.7552 0.6371  9 Cu 2.54-2.75, 3 Ag 2.64
Ag 0.0000 0.0000 0.5000  12 Cu 2.64-2.67

Values from the calculation:
E_form in eV/atom: 0.0467
Polymorph energy (0 for the lowest one) in meV per atom: 4